1.
VASP calculation (PBE-GGA) on a relaxed structure of AcPrEu.

Unit cell a=8.5517 b=8.5517 c=8.5517 alpha=153.68 beta=153.68 gamma=37.56
Element x y z (fractional)
Ac: 0.0000 0.0000 0.0000
Pr: 0.3416 0.3416 0.0000
Eu: 0.6771 0.6771 0.0000

Computed properties:
- SG: I4mm
- DOS(E_F): 3.260 states/eV/cell
- Calculated volume: 122.7 Å³ per cell
- Energy above the most stable polymorph in this dataset: 0 meV/atom
- DFT formation energy: 18 meV/atom

2.
VASP calculation (PBE-GGA) on a relaxed structure of Na2Li4In3.

Unit cell a=4.9150 b=4.9150 c=9.2558 alpha=90.00 beta=90.00 gamma=120.00
Element x y z (fractional)
Na: 0.3333 0.6667 0.2837
Na: 0.6667 0.3333 0.7163
Li: 0.0000 0.0000 0.1545
Li: 0.0000 0.0000 0.8455
Li: 0.3333 0.6667 0.6078
Li: 0.6667 0.3333 0.3922
In: 0.0000 0.0000 0.5000
In: 0.3333 0.6667 0.9334
In: 0.6667 0.3333 0.0666

Computed properties:
- SG: P-3m1
- DOS(E_F): 4.320 states/eV/cell
- Calculated volume: 193.6 Å³ per cell
- DFT formation energy: -187 meV/atom

3.
VASP calculation (PBE-GGA) on a relaxed structure of Ce3Sm2DyS6.

Unit cell a=6.9198 b=6.9198 c=6.9549 alpha=99.56 beta=99.56 gamma=120.03
Element x y z (fractional)
Ce: 0.0000 0.0000 0.0000
Ce: 0.3314 0.6686 0.0000
Ce: 0.6686 0.3314 0.0000
Sm: 0.1665 0.8335 0.5000
Sm: 0.8335 0.1665 0.5000
Dy: 0.5000 0.5000 0.5000
S: 0.0909 0.4189 0.2564
S: 0.2541 0.2541 0.7458
S: 0.4189 0.0909 0.2564
S: 0.5811 0.9091 0.7436
S: 0.7459 0.7459 0.2542
S: 0.9091 0.5811 0.7436

Computed properties:
- SG: C2/m
- Formation energy without anion corrections: -2.04 eV per atom
- DOS(E_F): 16.543 states/eV/cell
- Calculated volume: 271.9 Å³ per cell

4.
VASP calculation (PBE-GGA) on a relaxed structure of BaErInSe4.

Unit cell a=7.0632 b=7.2727 c=8.7941 alpha=90.00 beta=106.94 gamma=90.00
Element x y z (fractional)
Ba: 0.2306 0.2500 0.0501
Ba: 0.7694 0.7500 0.9499
Er: 0.2134 0.2500 0.5542
Er: 0.7866 0.7500 0.4458
In: 0.2437 0.7500 0.3344
In: 0.7563 0.2500 0.6656
Se: 0.0198 0.5139 0.7145
Se: 0.0198 0.9861 0.7145
Se: 0.4564 0.7500 0.1442
Se: 0.4953 0.7500 0.6063
Se: 0.5047 0.2500 0.3937
Se: 0.5436 0.2500 0.8558
Se: 0.9802 0.0139 0.2855
Se: 0.9802 0.4861 0.2855

Computed properties:
- SG: P2_1/m
- Formation energy without anion corrections: -1.37 eV per atom
- Calculated volume: 432.1 Å³ per cell

5.
VASP calculation (PBE-GGA) on a relaxed structure of Cr5Ag.

Unit cell a=4.2727 b=6.3864 c=6.3864 alpha=26.66 beta=90.00 gamma=90.00
Element x y z (fractional)
Cr: 0.0000 0.0000 0.0000
Cr: 0.0000 0.3241 0.3241
Cr: 0.0000 0.6673 0.6673
Cr: 0.5000 0.1563 0.1563
Cr: 0.5000 0.5179 0.5179
Ag: 0.5000 0.8397 0.8397

Computed properties:
- SG: Amm2
- DOS(E_F): 4.973 states/eV/cell
- Calculated volume: 78.2 Å³ per cell
- Energy above the most stable polymorph in this dataset: 0 meV/atom
- DFT formation energy: 408 meV/atom

6.
VASP calculation (PBE-GGA) on a relaxed structure of Pa2HgGe.

Unit cell a=10.6215 b=10.6215 c=10.6215 alpha=17.31 beta=17.31 gamma=17.31
Element x y z (fractional)
Pa: 0.2454 0.2454 0.2454
Pa: 0.7546 0.7546 0.7546
Hg: 0.0000 0.0000 0.0000
Ge: 0.5000 0.5000 0.5000

Computed properties:
- SG: R-3m
- DOS(E_F): 5.605 states/eV/cell
- Calculated volume: 92.6 Å³ per cell
- Energy above the most stable polymorph in this dataset: 0 meV/atom
- DFT formation energy: -107 meV/atom

7.
VASP calculation (PBE-GGA) on a relaxed structure of Be2Co2Pt.

Unit cell a=6.1371 b=6.1371 c=2.7253 alpha=90.00 beta=90.00 gamma=90.00
Element x y z (fractional)
Be: 0.1280 0.3720 0.0000
Be: 0.3720 0.8720 0.0000
Be: 0.6280 0.1280 0.0000
Be: 0.8720 0.6280 0.0000
Co: 0.1633 0.6633 0.5000
Co: 0.3367 0.1633 0.5000
Co: 0.6633 0.8367 0.5000
Co: 0.8367 0.3367 0.5000
Pt: 0.0000 0.0000 0.0000
Pt: 0.5000 0.5000 0.0000

Computed properties:
- SG: P4/mbm
- DOS(E_F): 8.630 states/eV/cell
- Calculated volume: 102.6 Å³ per cell
- Energy above the most stable polymorph in this dataset: 0 meV/atom
- DFT formation energy: -268 meV/atom

8.
VASP calculation (PBE-GGA) on a relaxed structure of LaTb2Dy4.

Unit cell a=6.0909 b=6.6210 c=11.5849 alpha=90.00 beta=103.75 gamma=90.00
Element x y z (fractional)
La: 0.0431 0.2500 0.3637
La: 0.9569 0.7500 0.6363
Tb: 0.1584 0.2500 0.9504
Tb: 0.3992 0.7500 0.5083
Tb: 0.6008 0.2500 0.4917
Tb: 0.8416 0.7500 0.0496
Dy: 0.1456 0.2500 0.6654
Dy: 0.2798 0.7500 0.9228
Dy: 0.3491 0.5094 0.2101
Dy: 0.3491 0.9906 0.2101
Dy: 0.6509 0.0094 0.7899
Dy: 0.6509 0.4906 0.7899
Dy: 0.7202 0.2500 0.0772
Dy: 0.8544 0.7500 0.3346

Computed properties:
- SG: P2_1/m
- DOS(E_F): 22.711 states/eV/cell
- Calculated volume: 453.8 Å³ per cell
- Energy above the most stable polymorph in this dataset: 80 meV/atom
- DFT formation energy: 122 meV/atom

9.
VASP calculation (PBE-GGA) on a relaxed structure of Nd2Ga3NiPd4.

Unit cell a=4.2859 b=4.2859 c=10.3744 alpha=90.00 beta=90.00 gamma=90.00
Element x y z (fractional)
Nd: 0.0000 0.5000 0.2388
Nd: 0.5000 0.0000 0.7612
Ga: 0.0000 0.0000 0.0000
Ga: 0.0000 0.5000 0.6291
Ga: 0.5000 0.0000 0.3709
Ni: 0.5000 0.5000 0.0000
Pd: 0.0000 0.0000 0.5000
Pd: 0.0000 0.5000 0.8675
Pd: 0.5000 0.0000 0.1325
Pd: 0.5000 0.5000 0.5000

Computed properties:
- SG: P-4m2
- DOS(E_F): 8.329 states/eV/cell
- Calculated volume: 190.6 Å³ per cell
- DFT formation energy: -699 meV/atom

10.
VASP calculation (PBE-GGA) on a relaxed structure of NiSeN2Cl.

Unit cell a=3.5003 b=3.5003 c=7.5436 alpha=90.00 beta=90.00 gamma=90.00
Element x y z (fractional)
Ni: 0.0000 0.0000 0.0000
Se: 0.5000 0.5000 0.0000
N: 0.0000 0.5000 0.5000
N: 0.5000 0.0000 0.5000
Cl: 0.5000 0.5000 0.5000

Computed properties:
- SG: P4/mmm
- Formation energy without anion corrections: 2.14 eV per atom
- DOS(E_F): 2.419 states/eV/cell
- Calculated volume: 92.4 Å³ per cell
- Energy above the most stable polymorph in this dataset: 844 meV/atom

11.
VASP calculation (PBE-GGA) on a relaxed structure of ZrCuSi2Ni.

Unit cell a=5.6687 b=5.6687 c=5.6687 alpha=141.25 beta=141.25 gamma=55.96
Element x y z (fractional)
Zr: 0.0000 0.0000 0.0000
Cu: 0.7500 0.2500 0.5000
Si: 0.3842 0.3842 0.0000
Si: 0.6158 0.6158 0.0000
Ni: 0.2500 0.7500 0.5000

Computed properties:
- SG: I-4m2
- Formation energy without anion corrections: -0.67 eV per atom
- DOS(E_F): 1.720 states/eV/cell
- Calculated volume: 70.8 Å³ per cell

12.
VASP calculation (PBE-GGA) on a relaxed structure of NbAuS3.

Unit cell a=3.3113 b=7.5177 c=9.6917 alpha=76.01 beta=89.69 gamma=89.95
Element x y z (fractional)
Nb: 0.2472 0.0347 0.1871
Nb: 0.7528 0.9653 0.8129
Au: 0.2541 0.5081 0.7241
Au: 0.7459 0.4919 0.2759
S: 0.2502 0.8296 0.0025
S: 0.2540 0.2080 0.7031
S: 0.2551 0.8249 0.6764
S: 0.7449 0.1751 0.3236
S: 0.7460 0.7920 0.2969
S: 0.7498 0.1704 0.9975

Computed properties:
- SG: P-1
- Formation energy without anion corrections: -0.58 eV per atom
- DOS(E_F): 0.569 states/eV/cell
- Calculated volume: 234.1 Å³ per cell

13.
VASP calculation (PBE-GGA) on a relaxed structure of Tb2Sc2S3.

Unit cell a=6.7155 b=6.7155 c=6.3968 alpha=104.56 beta=104.56 gamma=32.83
Element x y z (fractional)
Tb: 0.1136 0.1136 0.3367
Tb: 0.8864 0.8864 0.6633
Sc: 0.3611 0.3611 0.1387
Sc: 0.6389 0.6389 0.8613
S: 0.2479 0.2479 0.7490
S: 0.5000 0.5000 0.5000
S: 0.7521 0.7521 0.2510

Computed properties:
- SG: C2/m
- Formation energy without anion corrections: -1.67 eV per atom
- DOS(E_F): 3.299 states/eV/cell
- Calculated volume: 150.9 Å³ per cell

14.
VASP calculation (PBE-GGA) on a relaxed structure of Ca2Pd5Pb2.

Unit cell a=8.7368 b=8.7368 c=8.7368 alpha=75.94 beta=137.19 gamma=120.62
Element x y z (fractional)
Ca: 0.0218 0.1260 0.1479
Ca: 0.0218 0.3740 0.3958
Ca: 0.9782 0.6260 0.6042
Ca: 0.9782 0.8740 0.8521
Pd: 0.0589 0.4217 0.9361
Pd: 0.0589 0.6228 0.1372
Pd: 0.0935 0.0235 0.5700
Pd: 0.4536 0.5235 0.4300
Pd: 0.4856 0.1228 0.0639
Pd: 0.4856 0.9217 0.8628
Pd: 0.5330 0.2679 0.3656
Pd: 0.5330 0.6674 0.7651
Pd: 0.9022 0.1674 0.6344
Pd: 0.9022 0.7679 0.2349
Pb: 0.4274 0.4274 0.0000
Pb: 0.4274 0.9274 0.5000
Pb: 0.5512 0.8178 0.2334
Pb: 0.5844 0.3178 0.7666

Computed properties:
- SG: Ima2
- DOS(E_F): 7.154 states/eV/cell
- Calculated volume: 380.2 Å³ per cell
- DFT formation energy: -428 meV/atom

15.
VASP calculation (PBE-GGA) on a relaxed structure of CaZnAs2.

Unit cell a=3.9981 b=3.9981 c=10.6557 alpha=90.00 beta=90.00 gamma=90.00
Element x y z (fractional)
Ca: 0.2500 0.2500 0.2201
Ca: 0.7500 0.7500 0.7799
Zn: 0.2500 0.7500 0.5000
Zn: 0.7500 0.2500 0.5000
As: 0.2500 0.2500 0.6542
As: 0.2500 0.7500 0.0000
As: 0.7500 0.2500 0.0000
As: 0.7500 0.7500 0.3458

Computed properties:
- SG: P4/nmm
- DOS(E_F): 2.537 states/eV/cell
- Calculated volume: 170.3 Å³ per cell
- DFT formation energy: -644 meV/atom